# MnNb4FeO12

A relaxed structure of MnNb4FeO12 (GGA-PBEsol, Alexandria via LeMat-Bulk).

Cell and atoms, written as POSCAR:
```
MnNb4FeO12
1.0
5.041 0.000 0.000
0.000 14.242 0.000
0.000 0.000 5.730
Mn Nb Fe O
2 8 2 24
direct
0.000 0.000 0.088
0.500 0.500 0.912
0.004 0.660 0.068
0.005 0.840 0.569
0.495 0.340 0.431
0.496 0.160 0.932
0.504 0.840 0.932
0.505 0.660 0.431
0.995 0.160 0.569
0.996 0.340 0.068
0.000 0.500 0.585
0.500 0.000 0.415
0.158 0.422 0.861
0.164 0.406 0.356
0.167 0.078 0.368
0.168 0.095 0.859
0.175 0.757 0.871
0.177 0.745 0.371
0.323 0.245 0.629
0.325 0.257 0.129
0.332 0.595 0.141
0.333 0.578 0.632
0.336 0.906 0.644
0.342 0.922 0.139
0.658 0.078 0.139
0.664 0.094 0.644
0.667 0.422 0.632
0.668 0.405 0.141
0.675 0.743 0.129
0.677 0.755 0.629
0.823 0.255 0.371
0.825 0.243 0.871
0.832 0.905 0.859
0.833 0.922 0.368
0.836 0.594 0.356
0.842 0.578 0.861
```

Summary:
* symmetry: P2_12_12, No. 18
* calculated density: 5.4 g cm⁻³
* formation energy without anion corrections: -2.240 eV/atom
* total magnetization: 18.00 μB per cell